# 1
DFT (PBE) results for a geometry-optimized AcPuCoRu structure.

Unit cell a=4.981 b=4.981 c=4.981 alpha=60.00 beta=60.00 gamma=60.00
Last column: magnetic moment on the atom in μB.
Atoms (fractional coordinates):
Ru 0.750 0.750 0.750  -0.71
Ac 0.000 0.000 0.000  0.10
Co 0.250 0.250 0.250  -1.36
Pu 0.500 0.500 0.500  5.15

Summary:
ΔE_f   0.1463 eV per atom



# 2
DFT (PBE) results for a geometry-optimized RbAc2Co structure.

Unit cell a=4.280 b=4.280 c=12.157 alpha=79.86 beta=79.86 gamma=60.00
Atoms (fractional coordinates):
Rb 0.000 0.000 0.000
Ac 0.124 0.124 0.627
Ac 0.876 0.876 0.373
Co 0.500 0.500 0.500

Summary:
ΔE_f   0.0583 eV per atom
E above lowest polymorph   3.6 kJ/mol of atoms



# 3
DFT (PBE) results for a geometry-optimized RbAc8Co4 structure.

Unit cell a=4.307 b=10.808 c=10.808 alpha=87.73 beta=78.51 gamma=78.51
Atoms (fractional coordinates):
Ac 0.345 0.354 0.956
Ac 0.662 0.380 0.297
Ac 0.338 0.620 0.703
Ac 0.699 0.956 0.646
Ac 0.041 0.297 0.620
Ac 0.959 0.703 0.380
Ac 0.655 0.646 0.044
Ac 0.301 0.044 0.354
Co 0.671 0.177 0.480
Co 0.849 0.480 0.823
Co 0.151 0.520 0.177
Co 0.329 0.823 0.520
Rb 0.000 0.000 0.000

Summary:
ΔE_f   -0.0078 eV per atom



# 4
DFT (PBE) results for a geometry-optimized RbAc2Co structure.

Unit cell a=4.305 b=4.304 c=11.037 alpha=89.96 beta=90.00 gamma=120.01
Atoms (fractional coordinates):
Ac 0.334 0.667 0.364
Ac 0.666 0.333 0.636
Co 0.000 0.000 0.500
Rb 0.000 0.000 0.000

Summary:
ΔE_f   0.0213 eV per atom
E above lowest polymorph   0.0 kJ/mol of atoms



# 5
DFT (PBE) results for a geometry-optimized AcCoReSi2 structure.

Unit cell a=4.208 b=4.208 c=6.023 alpha=110.45 beta=110.45 gamma=90.00
Atoms (fractional coordinates):
Co 0.750 0.250 0.500
Si 0.357 0.357 0.713
Si 0.643 0.643 0.287
Re 0.250 0.750 0.500
Ac 0.000 0.000 0.000

Summary:
Raw formation energy   -500.5 meV/atom



# 6
DFT (PBE) results for a geometry-optimized Ac6CoRh structure.

Unit cell a=7.216 b=7.216 c=8.035 alpha=63.32 beta=63.33 gamma=60.02
Atoms (fractional coordinates):
Ac 0.246 0.916 0.246
Ac 0.754 0.084 0.754
Ac 0.915 0.593 0.246
Ac 0.085 0.407 0.754
Ac 0.593 0.247 0.245
Ac 0.407 0.753 0.755
Rh 0.500 0.500 0.500
Co 0.000 0.000 0.000

Summary:
ΔE_f   -0.2116 eV per atom



# 7
DFT (PBE) results for a geometry-optimized Ac2CoRh structure.

Unit cell a=3.996 b=3.996 c=9.026 alpha=77.21 beta=77.21 gamma=60.00
Atoms (fractional coordinates):
Co 0.500 0.500 0.500
Ac 0.101 0.101 0.696
Ac 0.899 0.899 0.304
Rh 0.000 0.000 0.000

Summary:
ΔE_f   0.3984 eV per atom



# 8
DFT (PBE) results for a geometry-optimized Ac12Co2Rh5 structure.

Unit cell a=8.187 b=8.893 c=10.335 alpha=104.32 beta=90.00 gamma=117.41
Atoms (fractional coordinates):
Rh 0.000 0.000 0.500
Rh 0.727 0.455 0.958
Rh 0.273 0.545 0.042
Rh 0.709 0.417 0.379
Rh 0.291 0.583 0.621
Ac 0.530 0.059 0.826
Ac 0.381 0.263 0.517
Ac 0.936 0.872 0.171
Ac 0.882 0.263 0.517
Ac 0.440 0.364 0.143
Ac 0.076 0.636 0.857
Ac 0.560 0.636 0.857
Ac 0.118 0.737 0.483
Ac 0.619 0.737 0.483
Ac 0.470 0.941 0.174
Ac 0.924 0.364 0.143
Ac 0.064 0.128 0.829
Co 0.234 0.000 0.000
Co 0.766 0.000 0.000

Summary:
ΔE_f   -0.3599 eV per atom



# 9
DFT (PBE) results for a geometry-optimized Ac12Co5Rh3 structure.

Unit cell a=14.913 b=14.913 c=14.913 alpha=109.47 beta=109.47 gamma=109.47
Atoms (fractional coordinates):
Co 0.000 0.500 0.500
Co 0.875 0.250 0.625
Co 0.500 0.500 0.500
Co 0.750 0.625 0.375
Co 0.500 0.000 0.500
Co 0.250 0.375 0.625
Co 0.625 0.750 0.875
Co 0.000 0.000 0.500
Co 0.375 0.250 0.125
Co 0.625 0.875 0.250
Co 0.125 0.750 0.375
Co 0.000 0.000 0.000
Co 0.375 0.125 0.750
Co 0.125 0.375 0.250
Co 0.250 0.875 0.125
Co 0.000 0.500 0.000
Co 0.875 0.625 0.750
Co 0.500 0.000 0.000
Co 0.750 0.125 0.875
Co 0.500 0.500 0.000
Ac 0.536 0.214 0.126
Ac 0.126 0.412 0.090
Ac 0.178 0.090 0.964
Ac 0.910 0.822 0.536
Ac 0.464 0.678 0.090
Ac 0.626 0.590 0.912
Ac 0.590 0.626 0.412
Ac 0.322 0.536 0.410
Ac 0.678 0.464 0.590
Ac 0.088 0.178 0.214
Ac 0.912 0.090 0.626
Ac 0.786 0.464 0.374
Ac 0.412 0.286 0.322
Ac 0.910 0.088 0.874
Ac 0.588 0.874 0.410
Ac 0.590 0.964 0.678
Ac 0.088 0.910 0.374
Ac 0.410 0.036 0.322
Ac 0.714 0.126 0.036
Ac 0.964 0.374 0.286
Ac 0.036 0.626 0.714
Ac 0.410 0.374 0.588
Ac 0.912 0.822 0.786
Ac 0.090 0.912 0.126
Ac 0.412 0.126 0.590
Ac 0.322 0.786 0.412
Ac 0.374 0.964 0.786
Ac 0.286 0.874 0.964
Ac 0.178 0.088 0.714
Ac 0.036 0.410 0.822
Ac 0.126 0.714 0.536
Ac 0.964 0.590 0.178
Ac 0.214 0.536 0.626
Ac 0.588 0.714 0.678
Ac 0.536 0.322 0.910
Ac 0.822 0.910 0.036
Ac 0.374 0.410 0.088
Ac 0.214 0.678 0.088
Ac 0.286 0.412 0.822
Ac 0.626 0.036 0.214
Ac 0.464 0.786 0.874
Ac 0.822 0.912 0.286
Ac 0.874 0.286 0.464
Ac 0.090 0.178 0.464
Ac 0.786 0.322 0.912
Ac 0.874 0.588 0.910
Ac 0.714 0.588 0.178
Ac 0.678 0.214 0.588
Rh 0.375 0.750 0.625
Rh 0.375 0.625 0.250
Rh 0.125 0.875 0.750
Rh 0.625 0.250 0.375
Rh 0.250 0.625 0.875
Rh 0.875 0.750 0.125
Rh 0.250 0.125 0.375
Rh 0.125 0.250 0.875
Rh 0.625 0.375 0.750
Rh 0.750 0.875 0.625
Rh 0.875 0.125 0.250
Rh 0.750 0.375 0.125

Summary:
ΔE_f   -0.0077 eV per atom



# 10
DFT (PBE) results for a geometry-optimized Ac4CoRh2 structure.

Unit cell a=5.347 b=5.347 c=8.423 alpha=108.51 beta=108.51 gamma=90.00
Atoms (fractional coordinates):
Co 0.000 0.000 0.000
Ac 0.500 0.000 0.000
Ac 0.193 0.193 0.387
Ac 0.807 0.807 0.613
Ac 0.000 0.500 0.000
Rh 0.630 0.630 0.259
Rh 0.370 0.370 0.741

Summary:
ΔE_f   -0.1875 eV per atom



# 11
DFT (PBE) results for a geometry-optimized Ac6CoRh3 structure.

Unit cell a=7.249 b=7.878 c=10.898 alpha=90.00 beta=91.36 gamma=90.00
Atoms (fractional coordinates):
Ac 0.320 0.823 0.079
Ac 0.659 0.439 0.252
Ac 0.670 0.183 0.570
Ac 0.180 0.323 0.421
Ac 0.341 0.561 0.748
Ac 0.170 0.317 0.070
Ac 0.159 0.061 0.752
Ac 0.330 0.817 0.430
Ac 0.830 0.683 0.930
Ac 0.820 0.677 0.579
Ac 0.680 0.177 0.921
Ac 0.841 0.939 0.248
Rh 0.538 0.898 0.733
Rh 0.038 0.602 0.233
Rh 0.500 0.500 0.000
Rh 0.000 0.000 0.500
Rh 0.962 0.398 0.767
Rh 0.462 0.102 0.267
Co 0.500 0.500 0.500
Co 0.000 0.000 0.000

Summary:
ΔE_f   -0.4380 eV per atom



# 12
DFT (PBE) results for a geometry-optimized Ac16Co5Rh3 structure.

Unit cell a=8.488 b=8.488 c=13.748 alpha=89.97 beta=89.97 gamma=59.91
Atoms (fractional coordinates):
Ac 0.484 0.023 0.157
Ac 0.977 0.507 0.659
Ac 0.173 0.667 0.906
Ac 0.488 0.488 0.156
Ac 0.166 0.166 0.902
Ac 0.512 0.512 0.660
Ac 0.004 0.004 0.171
Ac 0.667 0.173 0.906
Ac 0.005 0.005 0.674
Ac 0.333 0.838 0.405
Ac 0.328 0.328 0.401
Ac 0.832 0.832 0.410
Ac 0.507 0.977 0.659
Ac 0.838 0.333 0.405
Ac 0.663 0.663 0.898
Ac 0.023 0.484 0.157
Rh 0.835 0.835 0.787
Rh 0.667 0.165 0.286
Rh 0.165 0.667 0.286
Co 0.666 0.666 0.524
Co 0.333 0.333 0.022
Co 0.166 0.166 0.284
Co 0.834 0.334 0.785
Co 0.334 0.834 0.785

Summary:
ΔE_f   -0.2228 eV per atom